<a>
Crystalline CsAgSe4 at its relaxed geometry, computed with PBE-GGA.

Summary:
volume = 31.81 Å³ per atom
theoretical density = 4.8 g/cm3

Cell lengths 5.8907, 9.2075, 14.0770 Å; angles 90.00, 90.00, 90.00 degrees
Closest atoms and distances in Å follow each position.
Fractional coordinates of all 24 atoms:
Cs  0.1672  0.0627  0.3342  10 Se 3.65-4.07, 2 Ag 3.96-4.01
Cs  0.3328  0.9373  0.8342  10 Se 3.65-4.07, 2 Ag 3.96-4.01
Cs  0.6672  0.4373  0.6658  10 Se 3.65-4.07, 2 Ag 3.96-4.01
Cs  0.8328  0.5627  0.1658  10 Se 3.65-4.07, 2 Ag 3.96-4.01
Ag  0.0475  0.1286  0.0604  4 Se 2.64-2.84
Ag  0.4525  0.8714  0.5604  4 Se 2.64-2.84
Ag  0.5475  0.3714  0.9396  4 Se 2.64-2.84
Ag  0.9525  0.6286  0.4396  4 Se 2.64-2.84
Se  0.0968  0.5752  0.9276  2 Se 2.38-2.42
Se  0.1239  0.6905  0.6091  1 Se 2.40, 2 Ag 2.64-2.65
Se  0.1445  0.3622  0.8290  2 Se 2.40-2.42
Se  0.2075  0.8661  0.0978  1 Se 2.38, 1 Ag 2.65
Se  0.2925  0.1339  0.5978  1 Se 2.38, 1 Ag 2.65
Se  0.3555  0.6378  0.3290  2 Se 2.40-2.42
Se  0.3761  0.3095  0.1091  1 Se 2.40, 2 Ag 2.64-2.65
Se  0.4032  0.4248  0.4276  2 Se 2.38-2.42
Se  0.5968  0.9248  0.0724  2 Se 2.38-2.42
Se  0.6239  0.8095  0.3909  1 Se 2.40, 2 Ag 2.64-2.65
Se  0.6445  0.1378  0.1710  2 Se 2.40-2.42
Se  0.7075  0.6339  0.9022  1 Se 2.38, 1 Ag 2.65
Se  0.7925  0.3661  0.4022  1 Se 2.38, 1 Ag 2.65
Se  0.8555  0.8622  0.6710  2 Se 2.40-2.42
Se  0.8761  0.1905  0.8909  1 Se 2.40, 2 Ag 2.64-2.65
Se  0.9032  0.0752  0.5724  2 Se 2.38-2.42

---

<b>
Crystalline CsAgSe4 at its relaxed geometry, computed with PBE-GGA.

Summary:
volume = 29.59 Å³ per atom
theoretical density = 5.2 g/cm3

Cell lengths 8.8763, 4.1586, 10.4628 Å; angles 90.00, 113.16, 90.00 degrees
Closest atoms and distances in Å follow each position.
Fractional coordinates of all 12 atoms:
Cs  0.2444  0.2500  0.2893  7 Se 3.64-4.03, 2 Ag 4.01
Cs  0.7556  0.7500  0.7107  7 Se 3.64-4.03, 2 Ag 4.01
Ag  0.0717  0.2500  0.5995  4 Se 2.71-2.77, 2 Ag 2.86
Ag  0.9283  0.7500  0.4005  4 Se 2.71-2.77, 2 Ag 2.86
Se  0.1382  0.2500  0.8773  2 Se 2.71, 1 Ag 2.73
Se  0.2565  0.7500  0.5789  3 Ag 2.71-2.77, 1 Se 2.83
Se  0.3296  0.7500  0.8681  6 Se 2.56-2.83
Se  0.4687  0.7500  0.1340  3 Se 2.56-2.75
Se  0.5313  0.2500  0.8660  3 Se 2.56-2.75
Se  0.6704  0.2500  0.1319  6 Se 2.56-2.83
Se  0.7435  0.2500  0.4211  3 Ag 2.71-2.77, 1 Se 2.83
Se  0.8618  0.7500  0.1227  2 Se 2.71, 1 Ag 2.73

---

Quick look at relative energies in meV per atom: <a> 0; <b> 145.

---

<a>
Crystalline CsSiAgSe3 at its relaxed geometry, computed with PBE-GGA.

Summary:
volume = 27.58 Å³ per atom
theoretical density = 5.1 g/cm3

Cell lengths 15.9731, 3.8910, 10.6511 Å; angles 90.00, 90.00, 90.00 degrees
Closest atoms and distances in Å follow each position.
Fractional coordinates of all 24 atoms:
Cs  0.2266  0.2500  0.0333  7 Se 3.67-3.82, 2 Ag 3.78, 2 Cs 3.89
Cs  0.2734  0.7500  0.5333  7 Se 3.67-3.82, 2 Ag 3.78, 2 Cs 3.89
Cs  0.7266  0.2500  0.4667  7 Se 3.67-3.82, 2 Ag 3.78, 2 Cs 3.89
Cs  0.7734  0.7500  0.9667  7 Se 3.67-3.82, 2 Ag 3.78, 2 Cs 3.89
Si  0.0123  0.2500  0.3534  6 Se 2.44-2.61
Si  0.4877  0.7500  0.8534  6 Se 2.44-2.61
Si  0.5123  0.2500  0.1466  6 Se 2.44-2.61
Si  0.9877  0.7500  0.6466  6 Se 2.44-2.61
Ag  0.0264  0.7500  0.0798  4 Se 2.59-2.79, 2 Ag 2.72
Ag  0.4736  0.2500  0.5798  4 Se 2.59-2.79, 2 Ag 2.72
Ag  0.5264  0.7500  0.4202  4 Se 2.59-2.79, 2 Ag 2.72
Ag  0.9736  0.2500  0.9202  4 Se 2.59-2.79, 2 Ag 2.72
Se  0.0792  0.2500  0.5593  3 Si 2.44-2.61
Se  0.0802  0.7500  0.8306  1 Si 2.45
Se  0.1102  0.7500  0.2882  2 Si 2.59, 1 Ag 2.59
Se  0.3898  0.2500  0.7882  2 Si 2.59, 1 Ag 2.59
Se  0.4198  0.2500  0.3306  1 Si 2.45
Se  0.4208  0.7500  0.0593  3 Si 2.44-2.61
Se  0.5792  0.2500  0.9407  3 Si 2.44-2.61
Se  0.5802  0.7500  0.6694  1 Si 2.45
Se  0.6102  0.7500  0.2118  2 Si 2.59, 1 Ag 2.59
Se  0.8898  0.2500  0.7118  2 Si 2.59, 1 Ag 2.59
Se  0.9198  0.2500  0.1694  1 Si 2.45
Se  0.9208  0.7500  0.4407  3 Si 2.44-2.61

---

<b>
Crystalline CsSiAgSe3 at its relaxed geometry, computed with PBE-GGA.

Summary:
volume = 27.28 Å³ per atom
theoretical density = 5.1 g/cm3

Cell lengths 8.4861, 8.4861, 10.6748 Å; angles 90.00, 90.00, 154.79 degrees
Closest atoms and distances in Å follow each position.
Fractional coordinates of all 12 atoms:
Cs  0.2351  0.7649  0.7500  4 Se 3.57-3.67, 2 Ag 3.66, 2 Cs 3.70
Cs  0.7649  0.2351  0.2500  4 Se 3.57-3.67, 2 Ag 3.66, 2 Cs 3.70
Si  0.5000  0.5000  0.0000  6 Se 2.56-2.76
Si  0.5000  0.5000  0.5000  6 Se 2.56-2.76
Ag  0.0744  0.9256  0.2500  4 Se 2.54-2.69
Ag  0.9256  0.0744  0.7500  4 Se 2.54-2.69
Se  0.1058  0.8942  0.0174  1 Ag 2.54, 2 Si 2.56
Se  0.1058  0.8942  0.4826  1 Ag 2.54, 2 Si 2.56
Se  0.4564  0.5436  0.2500  2 Ag 2.69, 2 Si 2.76
Se  0.5436  0.4564  0.7500  2 Ag 2.69, 2 Si 2.76
Se  0.8942  0.1058  0.5174  1 Ag 2.54, 2 Si 2.56
Se  0.8942  0.1058  0.9826  1 Ag 2.54, 2 Si 2.56

---

Quick look at relative energies in meV per atom: <a> 0; <b> 120.

---

<a>
Crystalline CsTaAgSe3 at its relaxed geometry, computed with PBE-GGA.

Summary:
volume = 27.22 Å³ per atom
M_tot = 1.1 μB/cell
theoretical density = 6.7 g/cm3

Cell lengths 8.4075, 8.4075, 10.3438 Å; angles 90.00, 90.00, 153.47 degrees
Closest atoms and distances in Å follow each position.
Fractional coordinates of all 12 atoms:
Cs  0.2465  0.7535  0.7500  8 Se 3.65-3.72, 2 Ag 3.84, 2 Cs 3.86
Cs  0.7535  0.2465  0.2500  8 Se 3.65-3.72, 2 Ag 3.84, 2 Cs 3.86
Ta  0.0000  0.0000  0.0000  6 Se 2.68-2.79
Ta  0.0000  0.0000  0.5000  6 Se 2.68-2.79
Ag  0.4562  0.5438  0.2500  4 Se 2.55-2.62
Ag  0.5438  0.4562  0.7500  4 Se 2.55-2.62
Se  0.0642  0.9358  0.2500  2 Ag 2.62, 2 Ta 2.79
Se  0.3880  0.6120  0.0283  1 Ag 2.55, 2 Ta 2.68
Se  0.3880  0.6120  0.4717  1 Ag 2.55, 2 Ta 2.68
Se  0.6120  0.3880  0.5283  1 Ag 2.55, 2 Ta 2.68
Se  0.6120  0.3880  0.9717  1 Ag 2.55, 2 Ta 2.68
Se  0.9358  0.0642  0.7500  2 Ag 2.62, 2 Ta 2.79

---

<b>
Crystalline CsTaAgSe3 at its relaxed geometry, computed with PBE-GGA.

Summary:
volume = 27.63 Å³ per atom
M_tot = 0.8 μB/cell
theoretical density = 6.6 g/cm3

Cell lengths 8.9863, 3.8724, 10.4753 Å; angles 90.00, 114.54, 90.00 degrees
Closest atoms and distances in Å follow each position.
Fractional coordinates of all 12 atoms:
Cs  0.2495  0.2500  0.2286  8 Se 3.55-3.95, 2 Cs 3.87
Cs  0.7505  0.7500  0.7714  8 Se 3.55-3.95, 2 Cs 3.87
Ta  0.1897  0.7500  0.6628  6 Se 2.56-2.70
Ta  0.8103  0.2500  0.3372  6 Se 2.56-2.70
Ag  0.4328  0.2500  0.8907  4 Se 2.59-2.83, 2 Ag 2.86
Ag  0.5672  0.7500  0.1093  4 Se 2.59-2.83, 2 Ag 2.86
Se  0.0325  0.7500  0.3798  3 Ta 2.68-2.70
Se  0.2330  0.7500  0.9204  1 Ta 2.56, 3 Ag 2.75-2.83
Se  0.3707  0.2500  0.6257  1 Ag 2.59, 2 Ta 2.66
Se  0.6293  0.7500  0.3743  1 Ag 2.59, 2 Ta 2.66
Se  0.7670  0.2500  0.0796  1 Ta 2.56, 3 Ag 2.75-2.83
Se  0.9675  0.2500  0.6202  3 Ta 2.68-2.70

---

Quick look at relative energies in meV per atom: <a> 80; <b> 0.

---

<a>
Crystalline CsSiAg at its relaxed geometry, computed with PBE-GGA.

Summary:
volume = 34.34 Å³ per atom
theoretical density = 4.3 g/cm3

Cell lengths 7.4417, 7.4417, 7.4417 Å; angles 90.00, 90.00, 90.00 degrees
Closest atoms and distances in Å follow each position.
Fractional coordinates of all 12 atoms:
Cs  0.0000  0.0000  0.0000  4 Ag 3.22
Cs  0.0000  0.5000  0.5000  4 Ag 3.22
Cs  0.5000  0.0000  0.5000  4 Ag 3.22
Cs  0.5000  0.5000  0.0000  4 Ag 3.22
Si  0.0000  0.0000  0.5000  4 Ag 3.22
Si  0.0000  0.5000  0.0000  4 Ag 3.22
Si  0.5000  0.0000  0.0000  4 Ag 3.22
Si  0.5000  0.5000  0.5000  4 Ag 3.22
Ag  0.2500  0.2500  0.2500  4 Si 3.22, 4 Cs 3.22
Ag  0.2500  0.7500  0.7500  4 Si 3.22, 4 Cs 3.22
Ag  0.7500  0.2500  0.7500  4 Si 3.22, 4 Cs 3.22
Ag  0.7500  0.7500  0.2500  4 Si 3.22, 4 Cs 3.22

---

<b>
Crystalline CsSiAg at its relaxed geometry, computed with PBE-GGA.

Summary:
volume = 41.20 Å³ per atom
theoretical density = 3.6 g/cm3

Cell lengths 7.9076, 7.9076, 7.9076 Å; angles 90.00, 90.00, 90.00 degrees
Closest atoms and distances in Å follow each position.
Fractional coordinates of all 12 atoms:
Cs  0.0000  0.0000  0.0000  4 Ag 3.42, 4 Si 3.42
Cs  0.0000  0.5000  0.5000  4 Ag 3.42, 4 Si 3.42
Cs  0.5000  0.0000  0.5000  4 Ag 3.42, 4 Si 3.42
Cs  0.5000  0.5000  0.0000  4 Ag 3.42, 4 Si 3.42
Si  0.2500  0.2500  0.2500  4 Cs 3.42
Si  0.2500  0.7500  0.7500  4 Cs 3.42
Si  0.7500  0.2500  0.7500  4 Cs 3.42
Si  0.7500  0.7500  0.2500  4 Cs 3.42
Ag  0.2500  0.2500  0.7500  4 Cs 3.42
Ag  0.2500  0.7500  0.2500  4 Cs 3.42
Ag  0.7500  0.2500  0.2500  4 Cs 3.42
Ag  0.7500  0.7500  0.7500  4 Cs 3.42

---

Quick look at relative energies in meV per atom: <a> 0; <b> 465.

---

<a>
Crystalline CsSiAgTe3 at its relaxed geometry, computed with PBE-GGA.

Summary:
volume = 33.19 Å³ per atom
theoretical density = 5.4 g/cm3

Cell lengths 9.6134, 4.1961, 10.7300 Å; angles 90.00, 113.04, 90.00 degrees
Closest atoms and distances in Å follow each position.
Fractional coordinates of all 12 atoms:
Cs  0.2275  0.2500  0.2773  7 Te 3.85-4.07, 2 Ag 4.06, 2 Cs 4.20
Cs  0.7725  0.7500  0.7227  7 Te 3.85-4.07, 2 Ag 4.06, 2 Cs 4.20
Si  0.3376  0.7500  0.8668  6 Te 2.66-2.82
Si  0.6624  0.2500  0.1332  6 Te 2.66-2.82
Ag  0.0530  0.2500  0.5941  4 Te 2.79-2.87, 2 Ag 2.81
Ag  0.9470  0.7500  0.4059  4 Te 2.79-2.87, 2 Ag 2.81
Te  0.1481  0.2500  0.8755  1 Ag 2.79, 2 Si 2.80
Te  0.2561  0.7500  0.5916  1 Si 2.74, 3 Ag 2.86-2.87
Te  0.4682  0.7500  0.1358  3 Si 2.66-2.82
Te  0.5318  0.2500  0.8642  3 Si 2.66-2.82
Te  0.7439  0.2500  0.4084  1 Si 2.74, 3 Ag 2.86-2.87
Te  0.8519  0.7500  0.1245  1 Ag 2.79, 2 Si 2.80

---

<b>
Crystalline CsSiAgTe3 at its relaxed geometry, computed with PBE-GGA.

Summary:
volume = 32.06 Å³ per atom
theoretical density = 5.6 g/cm3

Cell lengths 8.9290, 8.9290, 11.4184 Å; angles 90.00, 90.00, 155.00 degrees
Closest atoms and distances in Å follow each position.
Fractional coordinates of all 12 atoms:
Cs  0.2421  0.7579  0.7500  2 Ag 3.77, 8 Te 3.82-4.11, 2 Cs 3.87
Cs  0.7579  0.2421  0.2500  2 Ag 3.77, 8 Te 3.82-4.11, 2 Cs 3.87
Si  0.5000  0.5000  0.0000  6 Te 2.78-2.97
Si  0.5000  0.5000  0.5000  6 Te 2.78-2.97
Ag  0.0722  0.9278  0.2500  4 Te 2.71-2.84
Ag  0.9278  0.0722  0.7500  4 Te 2.71-2.84
Te  0.1137  0.8863  0.0212  1 Ag 2.71, 2 Si 2.78
Te  0.1137  0.8863  0.4788  1 Ag 2.71, 2 Si 2.78
Te  0.4530  0.5470  0.2500  2 Ag 2.84, 2 Si 2.97
Te  0.5470  0.4530  0.7500  2 Ag 2.84, 2 Si 2.97
Te  0.8863  0.1137  0.5212  1 Ag 2.71, 2 Si 2.78
Te  0.8863  0.1137  0.9788  1 Ag 2.71, 2 Si 2.78

---

Quick look at relative energies in meV per atom: <a> 0; <b> 74.

---

<a>
Crystalline CsAg3SnTe4 at its relaxed geometry, computed with PBE-GGA.

Summary:
volume = 40.47 Å³ per atom
theoretical density = 4.9 g/cm3

Cell lengths 7.1414, 7.1414, 7.1414 Å; angles 90.00, 90.00, 90.00 degrees
Closest atoms and distances in Å follow each position.
Fractional coordinates of all 9 atoms:
Cs  0.0000  0.0000  0.0000  4 Te 3.46
Ag  0.0000  0.5000  0.5000  4 Te 2.99
Ag  0.5000  0.0000  0.5000  4 Te 2.99
Ag  0.5000  0.5000  0.0000  4 Te 2.99
Sn  0.5000  0.5000  0.5000  4 Te 2.73
Te  0.2797  0.2797  0.2797  1 Sn 2.73, 3 Ag 2.99
Te  0.2797  0.7203  0.7203  1 Sn 2.73, 3 Ag 2.99
Te  0.7203  0.2797  0.7203  1 Sn 2.73, 3 Ag 2.99
Te  0.7203  0.7203  0.2797  1 Sn 2.73, 3 Ag 2.99

---

<b>
Crystalline CsAg3SnTe4 at its relaxed geometry, computed with PBE-GGA.

Summary:
volume = 34.70 Å³ per atom
theoretical density = 5.8 g/cm3

Cell lengths 6.7250, 8.4739, 11.3452 Å; angles 90.00, 104.95, 90.00 degrees
Closest atoms and distances in Å follow each position.
Fractional coordinates of all 18 atoms:
Cs  0.2083  0.2500  0.3779  9 Te 3.90-4.28, 1 Ag 4.36
Cs  0.7917  0.7500  0.6221  9 Te 3.90-4.28, 1 Ag 4.36
Ag  0.3060  0.5576  0.0245  4 Te 2.83-3.11, 2 Ag 2.95-2.97
Ag  0.3060  0.9424  0.0245  4 Te 2.83-3.11, 2 Ag 2.95-2.97
Ag  0.4035  0.7500  0.2493  3 Te 2.77-2.90, 2 Ag 2.95
Ag  0.5965  0.2500  0.7507  3 Te 2.77-2.90, 2 Ag 2.95
Ag  0.6940  0.0576  0.9755  4 Te 2.83-3.11, 2 Ag 2.95-2.97
Ag  0.6940  0.4424  0.9755  4 Te 2.83-3.11, 2 Ag 2.95-2.97
Sn  0.1251  0.2500  0.7725  4 Te 2.74-2.83
Sn  0.8749  0.7500  0.2275  4 Te 2.74-2.83
Te  0.0468  0.2500  0.0049  1 Sn 2.82, 4 Ag 2.83-3.11
Te  0.1990  0.7500  0.4319  1 Sn 2.74, 1 Ag 2.77
Te  0.3601  0.5284  0.7771  1 Sn 2.83, 3 Ag 2.83-2.93
Te  0.3601  0.9716  0.7771  1 Sn 2.83, 3 Ag 2.83-2.93
Te  0.6399  0.0284  0.2229  1 Sn 2.83, 3 Ag 2.83-2.93
Te  0.6399  0.4716  0.2229  1 Sn 2.83, 3 Ag 2.83-2.93
Te  0.8010  0.2500  0.5681  1 Sn 2.74, 1 Ag 2.77
Te  0.9532  0.7500  0.9951  1 Sn 2.82, 4 Ag 2.83-3.11

---

Quick look at relative energies in meV per atom: <a> 116; <b> 0.